1.
Density functional theory data (PBE-GGA) for an optimized crystal structure of LaFe2GeH.

Lattice parameters (Å, degrees): 4.4635 5.8728 4.4635 90.00 90.00 90.00
Site moments in Bohr magnetons follow the coordinates.
Sites, in units of the cell vectors:
Ge 0.0000 0.0000 0.0000  -0.07
Fe 0.0000 0.0000 0.5000  2.71
Fe 0.5000 0.0000 0.0000  2.79
H 0.5000 0.5000 0.5000  0.05
La 0.0000 0.5000 0.0000  -0.16

The calculation puts the density at 4.60 g/cm3. For the total energy, the calculation gives -26.01 eV per cell. For the relative energy among the computed polymorphs, the calculation gives 556 meV/atom.

***

2.
Density functional theory data (PBE-GGA) for an optimized crystal structure of Cd5Te3.

Lattice parameters (Å, degrees): 4.2689 4.2689 14.3334 90.00 90.00 90.00
Sites, in units of the cell vectors:
Te 0.0000 0.0000 0.5000
Te 0.5000 0.5000 0.2118
Te 0.5000 0.5000 0.7882
Cd 0.0000 0.0000 0.7899
Cd 0.5000 0.5000 0.4052
Cd 0.0000 0.0000 0.0000
Cd 0.0000 0.0000 0.2101
Cd 0.5000 0.5000 0.5948

The calculation puts the density at 6.01 g/cm3. For the total energy, the calculation gives -14.70 eV per cell. Its uncorrected formation energy is -87 meV per atom. For the relative energy among the computed polymorphs, the calculation gives 96 meV/atom.

***

Among the records above, which one has the lowest relative energy among the computed polymorphs?
Cd5Te3